Record 1
Computed, not measured: a relaxed Nd12TcBi6 crystal at the GGA-PBE level of DFT.

Lattice parameters (Å, degrees): 13.6205 13.6205 12.7603 90.00 90.00 120.00
With the nearest neighbours (Å) after each atom.
Space group R-3 (No. 148, hexagonal axes)
Asymmetric unit:
Nd (0.0304, 0.1914, 0.3889)  4 Bi 3.23-3.41
Nd (0.0670, 0.1920, 0.8791)  1 Tc 2.77
Tc (0.0000, 0.0000, 0.0000)  6 Nd 2.77
Bi (0.0452, 0.4252, 0.3051)  7 Nd 3.23-3.41

Calculated values
The formation energy from the elements comes out at -0.4542 eV/atom.

Record 2
Computed, not measured: a relaxed Nd8TcBi2 crystal at the GGA-PBE level of DFT.

Lattice parameters (Å, degrees): 18.8298 5.5328 7.0281 90.00 109.62 90.00
With the nearest neighbours (Å) after each atom.
Space group C2/m (No. 12)
Asymmetric unit:
Nd (0.0053, 0.0000, 0.2349)  2 Tc 3.21, 3 Nd 3.24-3.31, 1 Bi 3.38
Nd (0.0895, 0.5000, 0.7498)  1 Tc 2.81
Nd (0.1415, 0.5000, 0.3170)  1 Tc 2.84
Nd (0.2126, 0.0000, 0.1253)  3 Bi 3.34-3.61, 3 Nd 3.53
Tc (0.0000, 0.5000, 0.0000)  4 Nd 2.81-2.84
Bi (0.1702, 0.0000, 0.6236)  9 Nd 3.34-3.61

Calculated values
The formation energy from the elements comes out at -0.2587 eV/atom.

Record 3
Computed, not measured: a relaxed Nd6BiTe4 crystal at the GGA-PBE level of DFT.

Lattice parameters (Å, degrees): 4.4155 14.5177 22.6489 90.00 90.00 90.00
With the nearest neighbours (Å) after each atom.
Space group Cmcm (No. 63)
Asymmetric unit:
Nd (0.0000, 0.0000, 0.0000)  6 Te 3.09-3.18
Nd (0.0000, 0.1629, 0.2500)  2 Te 3.05, 2 Bi 3.23
Nd (0.0000, 0.2686, 0.6029)  5 Te 3.15-3.38
Nd (0.0000, 0.4395, 0.1665)  3 Te 3.15-3.21, 2 Bi 3.35
Bi (0.0000, 0.1750, 0.7500)  8 Nd 3.23-3.60
Te (0.0000, 0.0807, 0.1261)  6 Nd 3.05-3.15
Te (0.0000, 0.3530, 0.0360)  6 Nd 3.18-3.38

Calculated values
The formation energy without anion corrections comes out at -1.187 eV per atom.

Record 4
Computed, not measured: a relaxed Nd5BiTe5 crystal at the GGA-PBE level of DFT.

Lattice parameters (Å, degrees): 14.1996 6.3983 8.9986 90.00 108.31 90.00
With the nearest neighbours (Å) after each atom.
Space group C2/m (No. 12)
Asymmetric unit:
Nd (0.0000, 0.0000, 0.0000)  4 Te 3.18-3.19, 2 Bi 3.20
Nd (0.1654, 0.5000, 0.8280)  5 Te 3.14-3.24, 1 Bi 3.19
Nd (0.1655, 0.5000, 0.3364)  5 Te 3.14-3.20, 1 Bi 3.20
Bi (0.0000, 0.5000, 0.0000)  6 Nd 3.19-3.20
Te (0.0000, 0.5000, 0.5000)  4 Nd 3.14
Te (0.1625, 0.0000, 0.3366)  5 Nd 3.18-3.23
Te (0.1666, 0.0000, 0.8307)  5 Nd 3.19-3.24

Calculated values
The formation energy without anion corrections comes out at -1.372 eV per atom.

Record 5
Computed, not measured: a relaxed Nd3Bi2Te crystal at the GGA-PBE level of DFT.

Lattice parameters (Å, degrees): 4.5872 6.4762 13.6813 90.00 90.00 90.00
With the nearest neighbours (Å) after each atom.
Space group Immm (No. 71)
Asymmetric unit:
Nd (0.0000, 0.0000, 0.0000)  4 Bi 3.23, 2 Te 3.24
Nd (0.0000, 0.0000, 0.3324)  4 Bi 3.23-3.24, 2 Te 3.24
Bi (0.0000, 0.5000, 0.3334)  6 Nd 3.23-3.24
Te (0.0000, 0.5000, 0.0000)  6 Nd 3.24

Calculated values
The formation energy without anion corrections comes out at -1.132 eV per atom. The relative energy among the computed polymorphs is 0.002 eV/atom.

Record 6
Computed, not measured: a relaxed NdBiTe2 crystal at the GGA-PBE level of DFT.

Lattice parameters (Å, degrees): 4.0916 24.4312 5.2217 90.00 90.00 90.00
With the nearest neighbours (Å) after each atom.
Space group Cmcm (No. 63)
Asymmetric unit:
Nd (0.0000, 0.0531, 0.2500)  7 Te 3.24-3.33
Bi (0.0000, 0.3146, 0.2500)  6 Te 3.15-3.32
Te (0.0000, 0.1858, 0.2500)  5 Bi 3.15-3.32, 1 Nd 3.24
Te (0.0000, 0.4453, 0.2500)  1 Bi 3.19, 6 Nd 3.32-3.33

Calculated values
The formation energy without anion corrections comes out at -0.641 eV per atom. The relative energy among the computed polymorphs is 0.038 eV/atom.

no.,M_tot (μB per formula unit),uncorrected energy (eV/atom)
1,0.0,-5.237
2,0.0,-5.374
3,0.4,-5.282
4,0.0,-5.320
5,0.0,-5.333
6,0.6,-4.374